(1)
Al2TeRh | GGA-PBE | optimized geometry

Unit cell a=3.532 b=3.535 c=6.539 alpha=90.00 beta=90.00 gamma=90.00
Fractional positions:
1 Te 0.500 0.500 0.815
2 Rh 0.000 0.000 0.374
3 Al 0.000 0.000 0.014
4 Al 0.500 0.500 0.296

Properties
- Total DFT energy (no corrections): -4.753 eV/atom
- SG: P4mm
- Theoretical density: 5.8 g/cm³
- DOS(E_F): 1.31 states/eV/f.u.


(2)
Al2TeRh | GGA-PBE | optimized geometry

Unit cell a=8.256 b=8.256 c=8.256 alpha=23.03 beta=23.03 gamma=23.03
Fractional positions:
1 Te 0.750 0.750 0.750
2 Rh 0.250 0.250 0.250
3 Al 0.985 0.985 0.985
4 Al 0.515 0.515 0.515

Properties
- Total DFT energy (no corrections): -4.748 eV/atom
- SG: R-3m
- Theoretical density: 6.3 g/cm³
- DOS(E_F): 2.26 states/eV/f.u.


(3)
Al2TeRh | GGA-PBE | optimized geometry

Unit cell a=3.165 b=2.964 c=8.058 alpha=89.98 beta=90.00 gamma=90.00
Fractional positions:
1 Te 0.500 0.750 0.750
2 Rh 0.500 0.250 0.250
3 Al 0.000 0.750 0.070
4 Al 0.000 0.750 0.430

Properties
- Total DFT energy (no corrections): -4.917 eV/atom
- SG: Pmmm
- Theoretical density: 6.2 g/cm³
- DOS(E_F): 1.76 states/eV/f.u.


(4)
Al2TeRh | GGA-PBE | optimized geometry

Unit cell a=3.685 b=4.492 c=4.368 alpha=90.00 beta=90.00 gamma=90.00
Fractional positions:
1 Te 0.000 0.500 0.500
2 Rh 0.500 0.000 0.500
3 Al 0.000 0.000 0.000
4 Al 0.500 0.500 0.000

Properties
- Total DFT energy (no corrections): -4.438 eV/atom
- SG: Pmmm
- Theoretical density: 6.5 g/cm³
- DOS(E_F): 2.49 states/eV/f.u.


(5)
Al2TeRh | GGA-PBE | optimized geometry

Unit cell a=4.449 b=4.846 c=4.848 alpha=54.40 beta=90.00 gamma=90.00
Fractional positions:
1 Te 0.500 0.631 0.631
2 Rh 0.000 0.449 0.449
3 Al 0.000 0.103 0.103
4 Al 0.500 0.317 0.317

Properties
- Total DFT energy (no corrections): -4.740 eV/atom
- SG: Amm2
- Theoretical density: 5.6 g/cm³
- DOS(E_F): 1.32 states/eV/f.u.


(6)
AlTeRh3 | GGA-PBE | optimized geometry

Unit cell a=4.791 b=4.791 c=4.791 alpha=90.00 beta=90.00 gamma=90.00
Fractional positions:
1 Te 0.000 0.000 0.000
2 Rh 0.000 0.500 0.000
3 Rh 0.000 0.000 0.500
4 Rh 0.500 0.000 0.000
5 Al 0.500 0.500 0.500

Properties
- Total DFT energy (no corrections): -4.996 eV/atom
- SG: Pm-3m
- Theoretical density: 7.0 g/cm³
- DOS(E_F): 7.50 states/eV/f.u.


> What is the formula in the second record?

Al2TeRh